Compound: ErNpTe2O
Source: the Alexandria database
Functional: PBE
Structure: relaxed

```
ErNpTe2O
1.0
4.1493 0.0000 0.0000
0.0000 4.1493 0.0000
0.0000 0.0000 15.3229
Er Np Te O
2 2 4 2
direct
0.2500 0.2500 0.1263
0.7500 0.7500 0.8737
0.2500 0.2500 0.5713
0.7500 0.7500 0.4287
0.2500 0.2500 0.3171
0.2500 0.2500 0.9121
0.7500 0.7500 0.0879
0.7500 0.7500 0.6829
0.2500 0.7500 0.5000
0.7500 0.2500 0.5000
```

- Calculated volume: 264 Å³/cell
- ΔE_f (raw): -1.737 eV per atom
- Size of the total moment: 3.74 μB/f.u.

=====

Compound: Cs3IrBr6
Source: the Alexandria database
Functional: PBE
Structure: relaxed

```
Cs3IrBr6
1.0
6.5252 3.7673 5.6021
-6.5252 3.7673 5.6021
0.0000 -7.5346 5.6021
Cs Ir Br
6 2 12
direct
0.0727 0.5433 0.2088
0.2088 0.0727 0.5433
0.4567 0.7912 0.9273
0.5433 0.2088 0.0727
0.7912 0.9273 0.4567
0.9273 0.4567 0.7912
0.0000 0.0000 0.0000
0.5000 0.5000 0.5000
0.0901 0.8051 0.8367
0.1633 0.9099 0.1949
0.1949 0.1633 0.9099
0.2356 0.4638 0.5406
0.4594 0.7644 0.5362
0.4638 0.5406 0.2356
0.5362 0.4594 0.7644
0.5406 0.2356 0.4638
0.7644 0.5362 0.4594
0.8051 0.8367 0.0901
0.8367 0.0901 0.8051
0.9099 0.1949 0.1633
```

- Calculated volume: 826 Å³/cell
- ΔE_f (raw): -1.149 eV per atom
- Size of the total moment: 0.11 μB/f.u.

=====

Compound: Y2TiFe2
Source: the Alexandria database
Functional: PBE
Structure: relaxed

```
Y2TiFe2
1.0
6.5728 0.0000 0.0000
0.0000 6.5728 0.0000
0.0000 0.0000 4.4416
Y Ti Fe
4 2 4
direct
0.1798 0.3202 0.0000
0.3202 0.8202 0.0000
0.6798 0.1798 0.0000
0.8202 0.6798 0.0000
0.0000 0.0000 0.5000
0.5000 0.5000 0.5000
0.1172 0.6172 0.5000
0.3828 0.1172 0.5000
0.6172 0.8828 0.5000
0.8828 0.3828 0.5000
```

- Calculated volume: 192 Å³/cell
- Size of the total moment: 0.00 μB/f.u.
- DFT formation energy: 62.3 meV per atom